Arrangement one

First-principles (PBE) data for MgSn2Ru2 after structural relaxation, as listed in Alexandria via LeMat-Bulk.

abc: 4.282 4.282 11.317
angles: 90.00 90.00 90.00
Space group I4/mmm (No. 139)
Asymmetric unit:
Mg 0.000 0.000 0.000 [2 per cell]
Sn 0.000 0.500 0.250 [4 per cell]
Ru 0.000 0.000 0.392 [4 per cell]

## Properties
total magnetization	0.000	μB per formula unit

Arrangement two

First-principles (PBE) data for MgSn2Ru2 after structural relaxation, as listed in Alexandria via LeMat-Bulk.

abc: 7.553 7.553 3.244
angles: 90.00 90.00 90.00
Space group P4/mbm (No. 127)
Asymmetric unit:
Mg 0.000 0.000 0.000 [2 per cell]
Sn 0.154 0.346 0.500 [4 per cell]
Ru 0.143 0.643 0.000 [4 per cell]

## Properties
total magnetization	0.000	μB per formula unit

The structure with the greatest stability is arrangement two.

Arrangement one

First-principles (PBE) data for Sr2Mg2Ru after structural relaxation, as listed in Alexandria via LeMat-Bulk.

abc: 7.727 7.727 5.314
angles: 90.00 90.00 90.00
Space group P4/mbm (No. 127)
Asymmetric unit:
Sr 0.163 0.337 0.000 [4 per cell]
Mg 0.149 0.649 0.500 [4 per cell]
Ru 0.000 0.000 0.000 [2 per cell]

## Properties
total magnetization	0.000	μB per formula unit

Arrangement two

First-principles (PBE) data for Sr2Mg2Ru after structural relaxation, as listed in Alexandria via LeMat-Bulk.

abc: 3.858 3.858 20.535
angles: 90.00 90.00 90.00
Space group I4/mmm (No. 139)
Asymmetric unit:
Sr 0.000 0.000 0.084 [4 per cell]
Mg 0.000 0.500 0.250 [4 per cell]
Ru 0.000 0.000 0.500 [2 per cell]

## Properties
total magnetization	0.108	μB per formula unit

The structure with the greatest stability is arrangement two.

Arrangement one

First-principles (PBE) data for MgTaRu after structural relaxation, as listed in Alexandria via LeMat-Bulk.

abc: 4.4471 4.4471 2.8983
angles: 90.00 90.00 120.00
Space group P3m1 (No. 156)
Asymmetric unit:
Mg 0.0000 0.0000 0.0000 [1 per cell]
Ta 0.6667 0.3333 0.5786 [1 per cell]
Ru 0.3333 0.6667 0.3267 [1 per cell]

## Properties
total magnetization	0.000	μB per formula unit

Arrangement two

First-principles (PBE) data for MgTaRu after structural relaxation, as listed in Alexandria via LeMat-Bulk.

abc: 6.136 6.136 6.136
angles: 90.00 90.00 90.00
Space group F-43m (No. 216)
Asymmetric unit:
Mg 0.000 0.000 0.000 [4 per cell]
Ta 0.000 0.000 0.500 [4 per cell]
Ru 0.250 0.250 0.750 [4 per cell]

## Properties
total magnetization	0.002	μB per formula unit

The structure with the greatest stability is arrangement one.

Arrangement one

First-principles (PBE) data for MgTaRu after structural relaxation, as listed in Alexandria via LeMat-Bulk.

abc: 3.184 4.791 13.626
angles: 90.00 90.00 90.00
Space group Fmm2 (No. 42)
Asymmetric unit:
Mg 0.000 0.000 0.000 [4 per cell]
Ta 0.000 0.000 0.689 [4 per cell]
Ru 0.000 0.000 0.336 [4 per cell]

## Properties
total magnetization	0.000	μB per formula unit

Arrangement two

First-principles (PBE) data for MgTaRu after structural relaxation, as listed in Alexandria via LeMat-Bulk.

abc: 3.224 3.224 9.955
angles: 90.00 90.00 90.00
Space group I4mm (No. 107)
Asymmetric unit:
Mg 0.000 0.000 0.000 [2 per cell]
Ta 0.000 0.000 0.303 [2 per cell]
Ru 0.000 0.000 0.674 [2 per cell]

## Properties
total magnetization	0.003	μB per formula unit

Arrangement three

First-principles (PBE) data for MgTaRu after structural relaxation, as listed in Alexandria via LeMat-Bulk.

abc: 8.451 4.460 6.169
angles: 90.00 90.00 90.00
Space group Pnma (No. 62)
Asymmetric unit:
Mg 0.091 0.250 0.070 [4 per cell]
Ta 0.141 0.250 0.556 [4 per cell]
Ru 0.136 0.750 0.324 [4 per cell]

## Properties
total magnetization	0.000	μB per formula unit

The structure with the greatest stability is arrangement two.